Entry 1:
Below is a crystal of ZrCr5 relaxed with PBEsol, with properties calculated at the meta-GGA SCAN level.

The structure in extended XYZ format:
```
6
Lattice="4.885 0.000 0.000 -2.443 4.231 0.000 0.000 0.000 3.898" Properties=species:S:1:pos:R:3 pbc="T T T"
Zr 0.000 0.000 0.000
Cr -1.221 2.115 1.949
Cr 0.000 2.820 0.000
Cr 2.443 0.000 1.949
Cr 1.221 2.115 1.949
Cr 2.443 1.410 0.000
```

Values from the calculation:
formation enthalpy at 0 K: 112 kJ/mol of formula units
N(E_F): 3.6 states/eV/cell
E: -20.244 eV/atom
V: 13.4 Å³/atom

Entry 2:
Below is a crystal of Zr3Cr relaxed with PBEsol, with properties calculated at the meta-GGA SCAN level.

The structure in extended XYZ format:
```
4
Lattice="3.129 0.000 0.000 0.000 4.271 0.000 -1.307 0.000 5.685" Properties=species:S:1:pos:R:3 pbc="T T T"
Zr 0.000 0.000 0.000
Zr 0.031 2.135 4.123
Zr 1.791 2.135 1.562
Cr 0.911 0.000 2.842
```

Values from the calculation:
formation enthalpy at 0 K: 86 kJ/mol of formula units
N(E_F): 3.9 states/eV/cell
E: -27.398 eV/atom
V: 19.0 Å³/atom

Entry 3:
Below is a crystal of Zr3Cr relaxed with PBEsol, with properties calculated at the meta-GGA SCAN level.

The structure in extended XYZ format:
```
4
Lattice="4.801 0.000 0.000 0.000 4.801 0.000 0.000 0.000 4.801" Properties=species:S:1:pos:R:3 pbc="T T T"
Zr 0.000 0.000 2.400
Zr 0.000 2.400 0.000
Zr 2.400 0.000 0.000
Cr 0.000 0.000 0.000
```

Values from the calculation:
formation enthalpy at 0 K: 455 kJ/mol of formula units
N(E_F): 6.5 states/eV/cell
E: -26.442 eV/atom
V: 27.7 Å³/atom

Entry 4:
Below is a crystal of Zr3Cr relaxed with PBEsol, with properties calculated at the meta-GGA SCAN level.

The structure in extended XYZ format:
```
4
Lattice="4.835 0.000 0.000 0.000 4.835 0.000 0.000 0.000 3.297" Properties=species:S:1:pos:R:3 pbc="T T T"
Zr 0.000 0.000 0.000
Zr 0.000 2.418 1.649
Zr 2.418 0.000 1.649
Cr 2.418 2.418 0.000
```

Values from the calculation:
formation enthalpy at 0 K: 67 kJ/mol of formula units
N(E_F): 4.5 states/eV/cell
E: -27.448 eV/atom
V: 19.3 Å³/atom

Entry 5:
Below is a crystal of Zr3Cr relaxed with PBEsol, with properties calculated at the meta-GGA SCAN level.

The structure in extended XYZ format:
```
4
Lattice="-2.125 2.125 4.399 2.125 -2.125 4.399 2.125 2.125 -4.399" Properties=species:S:1:pos:R:3 pbc="T T T"
Zr 0.000 0.000 0.000
Zr 2.125 0.000 2.200
Zr 0.000 2.125 2.200
Cr 0.000 0.000 4.399
```

Values from the calculation:
formation enthalpy at 0 K: 63 kJ/mol of formula units
N(E_F): 5.5 states/eV/cell
E: -27.457 eV/atom
V: 19.9 Å³/atom

Entry 6:
Below is a crystal of CsDy2Cu3S5 relaxed with PBEsol, with properties calculated at the meta-GGA SCAN level.

The structure in extended XYZ format:
```
22
Lattice="1.947 -6.907 0.000 1.947 6.907 0.000 0.000 0.000 16.482" Properties=species:S:1:pos:R:3 pbc="T T T"
Cs 1.947 6.026 12.362
Cs 1.947 -6.026 4.121
Dy 1.947 4.248 1.513
Dy 1.947 4.248 6.728
Dy 1.947 -4.248 9.754
Dy 1.947 -4.248 14.969
Cu 1.947 2.136 12.362
Cu 1.947 1.179 0.575
Cu 1.947 1.179 7.667
Cu 1.947 -1.179 8.816
Cu 1.947 -1.179 15.908
Cu 1.947 -2.136 4.121
S 1.947 4.592 9.383
S 1.947 4.592 15.340
S 1.947 3.691 4.121
S 1.947 0.833 10.047
S 1.947 0.833 14.677
S 1.947 -0.833 1.805
S 1.947 -0.833 6.436
S 1.947 -3.691 12.362
S 1.947 -4.592 1.142
S 1.947 -4.592 7.099
```

Values from the calculation:
N(E_F): 0.0 states/eV/cell
E: -22.069 eV/atom
formation energy (no corrections): -1.4197 eV per atom
V: 20.2 Å³/atom

Entry 7:
Below is a crystal of CsDy2Cu3Se5 relaxed with PBEsol, with properties calculated at the meta-GGA SCAN level.

The structure in extended XYZ format:
```
22
Lattice="2.030 -7.192 0.000 2.030 7.192 0.000 0.000 0.000 17.068" Properties=species:S:1:pos:R:3 pbc="T T T"
Cs 2.030 6.319 12.801
Cs 2.030 -6.319 4.267
Dy 2.030 4.418 1.559
Dy 2.030 4.418 6.975
Dy 2.030 -4.418 10.094
Dy 2.030 -4.418 15.509
Cu 2.030 2.247 12.801
Cu 2.030 1.220 0.499
Cu 2.030 1.220 8.035
Cu 2.030 -1.220 9.033
Cu 2.030 -1.220 16.569
Cu 2.030 -2.247 4.267
Se 2.030 4.802 9.746
Se 2.030 4.802 15.857
Se 2.030 3.741 4.267
Se 2.030 0.853 10.472
Se 2.030 0.853 15.130
Se 2.030 -0.853 1.938
Se 2.030 -0.853 6.596
Se 2.030 -3.741 12.801
Se 2.030 -4.802 1.212
Se 2.030 -4.802 7.323
```

Values from the calculation:
E: -26.656 eV/atom
formation energy (no corrections): -1.2561 eV per atom
V: 22.6 Å³/atom

Entry 8:
Below is a crystal of CsEr2Cu3Se5 relaxed with PBEsol, with properties calculated at the meta-GGA SCAN level.

The structure in extended XYZ format:
```
22
Lattice="2.021 -7.185 0.000 2.021 7.185 0.000 0.000 0.000 16.948" Properties=species:S:1:pos:R:3 pbc="T T T"
Cs 2.021 6.313 12.711
Cs 2.021 -6.313 4.237
Er 2.021 4.416 1.551
Er 2.021 4.416 6.923
Er 2.021 -4.416 10.026
Er 2.021 -4.416 15.397
Cu 2.021 2.232 12.711
Cu 2.021 1.216 0.509
Cu 2.021 1.216 7.965
Cu 2.021 -1.216 8.983
Cu 2.021 -1.216 16.439
Cu 2.021 -2.232 4.237
Se 2.021 4.777 9.676
Se 2.021 4.777 15.746
Se 2.021 3.734 4.237
Se 2.021 0.866 10.401
Se 2.021 0.866 15.021
Se 2.021 -0.866 1.927
Se 2.021 -0.866 6.547
Se 2.021 -3.734 12.711
Se 2.021 -4.777 1.202
Se 2.021 -4.777 7.272
```

Values from the calculation:
E: -27.111 eV/atom
formation energy (no corrections): -1.2490 eV per atom
V: 22.4 Å³/atom

Entry 9:
Below is a crystal of Cs2CuF4 relaxed with PBEsol, with properties calculated at the meta-GGA SCAN level.

The structure in extended XYZ format:
```
7
Lattice="-2.124 2.124 7.050 2.124 -2.124 7.050 2.124 2.124 -7.050" Properties=species:S:1:pos:R:3 pbc="T T T"
Cs 0.000 0.000 2.058
Cs 0.000 0.000 12.043
Cu 0.000 0.000 7.050
F 2.124 0.000 0.000
F 0.000 0.000 5.126
F 0.000 2.124 0.000
F 0.000 0.000 8.975
```

Values from the calculation:
N(E_F): 0.3 states/eV/cell
E: -17.499 eV/atom
formation energy (no corrections): -2.5021 eV per atom
V: 18.2 Å³/atom

Entry 10:
Below is a crystal of CsCu2F6 relaxed with PBEsol, with properties calculated at the meta-GGA SCAN level.

The structure in extended XYZ format:
```
18
Lattice="0.000 5.088 5.088 5.088 0.000 5.088 5.088 5.088 0.000" Properties=species:S:1:pos:R:3 pbc="T T T"
Cs 1.272 1.272 1.272
Cs 8.905 8.905 8.905
Cu 5.088 2.544 2.544
Cu 2.544 5.088 2.544
Cu 2.544 2.544 5.088
Cu 5.088 5.088 5.088
F 3.816 3.816 1.869
F 3.816 1.869 3.816
F 5.763 3.816 3.816
F 6.361 6.361 4.413
F 6.361 4.413 6.361
F 8.308 6.361 6.361
F 1.869 3.816 3.816
F 3.816 5.763 3.816
F 3.816 3.816 5.763
F 4.413 6.361 6.361
F 6.361 8.308 6.361
F 6.361 6.361 8.308
```

Values from the calculation:
N(E_F): 6.6 states/eV/cell
E: -12.053 eV/atom
formation energy (no corrections): -2.1147 eV per atom
V: 14.6 Å³/atom

Entry 11:
Below is a crystal of CsMnCuF6 relaxed with PBEsol, with properties calculated at the meta-GGA SCAN level.

The structure in extended XYZ format:
```
18
Lattice="-3.541 3.759 5.163 3.541 -3.759 5.163 3.541 3.759 -5.163" Properties=species:S:1:pos:R:3 pbc="T T T"
Cs 0.000 1.879 1.197
Cs 3.541 1.879 3.966
Mn 3.541 0.000 0.000
Mn 0.000 0.000 5.163
Cu 1.770 1.879 -2.582
Cu 1.770 -1.879 2.582
F 3.541 -1.879 3.323
F 2.218 -0.316 1.253
F 4.864 -0.316 1.253
F 3.541 1.879 0.544
F 2.218 3.443 -1.253
F 1.323 -0.316 3.910
F 2.218 4.075 1.253
F 1.323 0.316 6.416
F 0.000 1.879 4.619
F -1.323 4.075 3.910
F 1.323 4.075 3.910
F 0.000 5.638 1.841
```

Values from the calculation:
N(E_F): 3.7 states/eV/cell
E: -12.866 eV/atom
formation energy (no corrections): -2.5881 eV per atom
V: 15.3 Å³/atom

Entry 12:
Below is a crystal of CsCuNF2 relaxed with PBEsol, with properties calculated at the meta-GGA SCAN level.

The structure in extended XYZ format:
```
5
Lattice="5.071 0.000 0.000 0.000 5.071 0.000 0.000 0.000 4.513" Properties=species:S:1:pos:R:3 pbc="T T T"
Cs 0.000 0.000 0.000
Cu 2.536 2.536 2.256
N 0.000 0.000 2.256
F 0.000 2.536 0.000
F 2.536 0.000 0.000
```

Values from the calculation:
N(E_F): 2.6 states/eV/cell
E: -13.184 eV/atom
formation energy (no corrections): 0.6919 eV per atom
V: 23.2 Å³/atom

Entry 13:
Below is a crystal of Cs2Cu3NiF10 relaxed with PBEsol, with properties calculated at the meta-GGA SCAN level.

The structure in extended XYZ format:
```
16
Lattice="6.516 0.000 0.000 2.406 6.079 0.000 3.078 2.110 5.956" Properties=species:S:1:pos:R:3 pbc="T T T"
Cs 1.425 0.950 0.775
Cs 10.575 7.239 5.182
Cu 2.742 4.094 2.978
Cu 4.797 1.055 2.978
Cu 6.000 4.094 2.978
Ni 4.461 3.039 0.000
F 2.990 3.713 1.144
F 3.846 2.646 3.485
F 5.176 5.769 2.973
F 6.240 4.223 4.858
F 7.423 6.782 4.841
F 4.577 1.407 1.116
F 5.759 3.966 1.098
F 6.824 2.420 2.983
F 8.154 5.542 2.471
F 9.009 4.475 4.812
```

Values from the calculation:
E: -13.037 eV/atom
formation energy (no corrections): -2.2379 eV per atom
V: 14.7 Å³/atom

Entry 14:
Below is a crystal of CsCu2PdF relaxed with PBEsol, with properties calculated at the meta-GGA SCAN level.

The structure in extended XYZ format:
```
5
Lattice="5.143 0.000 0.000 0.000 5.143 0.000 0.000 0.000 4.694" Properties=species:S:1:pos:R:3 pbc="T T T"
Cs 0.000 0.000 0.000
Cu 0.000 2.572 0.000
Cu 2.572 0.000 0.000
Pd 2.572 2.572 2.347
F 0.000 0.000 2.347
```

Values from the calculation:
N(E_F): 1.8 states/eV/cell
E: -19.852 eV/atom
formation energy (no corrections): 1.0530 eV per atom
V: 24.8 Å³/atom

Entry 15:
Below is a crystal of Cs2RbCuF6 relaxed with PBEsol, with properties calculated at the meta-GGA SCAN level.

The structure in extended XYZ format:
```
10
Lattice="0.000 4.529 4.529 4.529 0.000 4.529 4.529 4.529 0.000" Properties=species:S:1:pos:R:3 pbc="T T T"
Cs 2.265 2.265 2.265
Cs 6.794 6.794 6.794
Rb 0.000 0.000 0.000
Cu 4.529 4.529 4.529
F 4.529 4.529 2.620
F 4.529 2.620 4.529
F 6.439 4.529 4.529
F 2.620 4.529 4.529
F 4.529 6.439 4.529
F 4.529 4.529 6.439
```

Values from the calculation:
N(E_F): 0.0 states/eV/cell
E: -15.845 eV/atom
formation energy (no corrections): -2.5652 eV per atom
V: 18.6 Å³/atom

Entry 16:
Below is a crystal of Cs2Cu3SnF12 relaxed with PBEsol, with properties calculated at the meta-GGA SCAN level.

The structure in extended XYZ format:
```
18
Lattice="3.532 2.039 6.777 -3.532 2.039 6.777 0.000 -4.079 6.777" Properties=species:S:1:pos:R:3 pbc="T T T"
Cs 0.000 0.000 2.178
Cs 0.000 0.000 18.153
Cu -1.766 -1.020 6.777
Cu -1.766 1.020 13.554
Cu 0.000 2.039 6.777
Sn 0.000 0.000 10.166
F -1.437 -0.830 9.067
F 0.000 -1.613 6.430
F -1.397 0.807 6.430
F 0.000 -1.660 11.264
F -1.437 0.830 11.264
F -1.397 -0.807 13.901
F 1.397 0.807 6.430
F 1.437 -0.830 9.067
F 0.000 1.660 9.067
F 1.397 -0.807 13.901
F 0.000 1.613 13.901
F 1.437 0.830 11.264
```

Values from the calculation:
N(E_F): 0.0 states/eV/cell
E: -13.465 eV/atom
formation energy (no corrections): -2.3749 eV per atom
V: 16.3 Å³/atom

Entry 17:
Below is a crystal of Cs2TiCu3F12 relaxed with PBEsol, with properties calculated at the meta-GGA SCAN level.

The structure in extended XYZ format:
```
36
Lattice="7.765 0.000 0.000 0.000 6.930 0.000 -6.422 0.000 10.248" Properties=species:S:1:pos:R:3 pbc="T T T"
Cs -1.279 0.036 3.914
Cs -4.490 3.429 9.038
Cs 5.833 3.501 1.211
Cs 2.622 6.894 6.335
Ti 0.000 0.000 0.000
Ti -3.211 3.465 5.124
Cu -0.981 1.509 7.571
Cu 2.230 1.956 2.447
Cu 3.882 0.000 0.000
Cu 0.671 3.465 5.124
Cu -0.887 4.974 7.801
Cu 2.323 5.421 2.677
F 0.599 1.572 0.835
F -2.612 1.893 5.959
F -1.490 3.847 4.477
F -2.875 4.457 6.679
F 0.336 5.938 1.555
F -4.701 6.547 9.601
F -2.456 1.123 8.716
F 0.755 2.342 3.592
F 2.213 3.746 1.792
F -0.998 6.649 6.916
F 1.102 5.031 4.107
F -2.109 5.363 9.231
F 3.452 1.566 1.018
F 0.241 1.899 6.142
F 2.341 0.281 3.332
F -0.870 3.184 8.456
F 0.588 4.588 6.657
F 3.799 5.807 1.533
F 6.044 0.382 0.647
F 1.007 0.992 8.693
F 4.218 2.473 3.569
F 2.833 3.083 5.771
F 3.955 5.037 4.290
F 0.744 5.358 9.414
```

Values from the calculation:
N(E_F): 0.0 states/eV/cell
E: -12.642 eV/atom
formation energy (no corrections): -2.6569 eV per atom
V: 15.3 Å³/atom

Entry 18:
Below is a crystal of Cs2FeCu2 relaxed with PBEsol, with properties calculated at the meta-GGA SCAN level.

The structure in extended XYZ format:
```
5
Lattice="-3.301 3.301 3.625 3.301 -3.301 3.625 3.301 3.301 -3.625" Properties=species:S:1:pos:R:3 pbc="T T T"
Cs 3.301 0.000 1.812
Cs 0.000 3.301 1.812
Fe 0.000 0.000 0.000
Cu 0.000 0.000 2.435
Cu 0.000 0.000 4.814
```

Values from the calculation:
formation enthalpy at 0 K: 380 kJ/mol of formula units
N(E_F): 1.4 states/eV/cell
E: -24.043 eV/atom
V: 31.6 Å³/atom

Entry 19:
Below is a crystal of CsGa3Cu relaxed with PBEsol, with properties calculated at the meta-GGA SCAN level.

The structure in extended XYZ format:
```
5
Lattice="4.904 0.000 0.000 0.000 4.904 0.000 0.000 0.000 4.904" Properties=species:S:1:pos:R:3 pbc="T T T"
Cs 0.000 0.000 0.000
Ga 0.000 2.452 2.452
Ga 2.452 0.000 2.452
Ga 2.452 2.452 0.000
Cu 2.452 2.452 2.452
```

Values from the calculation:
formation enthalpy at 0 K: 114 kJ/mol of formula units
N(E_F): 4.1 states/eV/cell
E: -20.173 eV/atom
V: 23.6 Å³/atom

Entry 20:
Below is a crystal of Cs2GaCu relaxed with PBEsol, with properties calculated at the meta-GGA SCAN level.

The structure in extended XYZ format:
```
4
Lattice="0.000 4.214 4.214 4.214 0.000 4.214 4.214 4.214 0.000" Properties=species:S:1:pos:R:3 pbc="T T T"
Cs 2.107 2.107 2.107
Cs 6.321 6.321 6.321
Ga 0.000 0.000 0.000
Cu 4.214 4.214 4.214
```

Values from the calculation:
formation enthalpy at 0 K: 225 kJ/mol of formula units
N(E_F): 3.5 states/eV/cell
E: -26.208 eV/atom
V: 37.4 Å³/atom